[1]
DFT (PBEsol) results for an optimized crystal structure of ScHSe2.

The space group is R-3m (No. 166, hexagonal axes) and the conventional cell measures 3.9040, 3.9040 and 19.1265 Å, with angles of 90.00, 90.00 and 120.00 degrees. Symmetry generates all atoms from Sc at (0.0000, 0.0000, 0.0000), H at (0.0000, 0.0000, 0.5000) and Se at (0.0000, 0.0000, 0.4092).

The calculation puts the energy above the most stable polymorph in this dataset at 0.15 kcal/mol of atoms. Its uncorrected energy is -5.419 eV/atom.

[2]
DFT (PBEsol) results for an optimized crystal structure of ScHSe2.

The space group is P2_1/m (No. 11) and the conventional cell measures 6.8166, 3.8966 and 6.8454 Å, with angles of 90.00, 107.98 and 90.00 degrees. Symmetry generates all atoms from Sc at (0.0081, 0.2500, 0.2284), H at (0.4451, 0.2500, 0.7328), Se at (0.2058, 0.2500, 0.6435) and Se at (0.2360, 0.7500, 0.1523).

The calculation puts the energy above the most stable polymorph in this dataset at 0.00 kcal/mol of atoms. Its uncorrected energy is -5.425 eV/atom.

[3]
DFT (PBEsol) results for an optimized crystal structure of ScSi3H.

The space group is Pm-3m (No. 221) and the conventional cell measures 3.9946, 3.9946 and 3.9946 Å, with angles of 90.00, 90.00 and 90.00 degrees. Symmetry generates all atoms from Sc at (0.0000, 0.0000, 0.0000), Si at (0.0000, 0.5000, 0.5000) and H at (0.5000, 0.5000, 0.5000).

Its uncorrected energy is -5.517 eV/atom. As for the density of states at the Fermi level: 1.27 states/eV/cell.

[4]
DFT (PBEsol) results for an optimized crystal structure of Sc2Si2H.

The space group is P4/mbm (No. 127) and the conventional cell measures 6.2749, 6.2749 and 4.0917 Å, with angles of 90.00, 90.00 and 90.00 degrees. Symmetry generates all atoms from Sc at (0.1738, 0.3262, 0.0000), Si at (0.1303, 0.6303, 0.5000) and H at (0.0000, 0.0000, 0.0000).

Its uncorrected energy is -6.075 eV/atom. As for the density of states at the Fermi level: 4.34 states/eV/cell.

[5]
DFT (PBEsol) results for an optimized crystal structure of ScSnH.

The space group is P-6m2 (No. 187) and the conventional cell measures 3.3568, 3.3568 and 4.7981 Å, with angles of 90.00, 90.00 and 120.00 degrees. Symmetry generates all atoms from Sc at (0.0000, 0.0000, 0.0000), Sn at (0.6667, 0.3333, 0.5000) and H at (0.3333, 0.6667, 0.0000).

Its uncorrected energy is -5.365 eV/atom. As for the density of states at the Fermi level: 0.60 states/eV/cell.

[6]
DFT (PBEsol) results for an optimized crystal structure of Sc3SnH.

The space group is Pm-3m (No. 221) and the conventional cell measures 4.4234, 4.4234 and 4.4234 Å, with angles of 90.00, 90.00 and 90.00 degrees. Symmetry generates all atoms from Sc at (0.0000, 0.0000, 0.5000), Sn at (0.5000, 0.5000, 0.5000) and H at (0.0000, 0.0000, 0.0000).

Its uncorrected energy is -6.039 eV/atom. As for the density of states at the Fermi level: 5.90 states/eV/cell.

[7]
DFT (PBEsol) results for an optimized crystal structure of Sc2SnH.

The space group is Fm-3m (No. 225) and the conventional cell measures 6.6813, 6.6813 and 6.6813 Å, with angles of 90.00, 90.00 and 90.00 degrees. Symmetry generates all atoms from Sc at (0.2500, 0.2500, 0.2500), Sn at (0.0000, 0.0000, 0.0000) and H at (0.0000, 0.0000, 0.5000).

Its uncorrected energy is -5.391 eV/atom. As for the density of states at the Fermi level: 13.28 states/eV/cell.

[8]
DFT (PBEsol) results for an optimized crystal structure of Sc2SnH2.

The space group is I4/mmm (No. 139) and the conventional cell measures 3.6859, 3.6859 and 9.8432 Å, with angles of 90.00, 90.00 and 90.00 degrees. Symmetry generates all atoms from Sc at (0.0000, 0.0000, 0.1580), Sn at (0.0000, 0.0000, 0.5000) and H at (0.0000, 0.5000, 0.2500).

Its uncorrected energy is -5.549 eV/atom. As for the density of states at the Fermi level: 2.11 states/eV/cell.